BeC after structural relaxation, computed with PBE.

Volume = 6.97 Å³/atom
Energy above the lowest structure with this stoichiometry = 1.180 eV per atom
Energy of formation from the pure elements = 1.499 eV/atom
SG = Pm-3m (221)

a = 2.4063 Å, b = 2.4063 Å, c = 2.4063 Å
α = 90.00°, β = 90.00°, γ = 90.00°
With the nearest neighbours (Å) after each atom.
Sites, in units of the cell vectors:
Be1 0.0000 0.0000 0.0000  8 C 2.08
C1 0.5000 0.5000 0.5000  8 Be 2.08

---

Cs2LaScF6 after structural relaxation, computed with PBE.

Volume = 20.28 Å³/atom
Total DFT energy (no corrections) = -54.77 eV per cell
SG = Fm-3m (225)

a = 6.5947 Å, b = 6.5947 Å, c = 6.5947 Å
α = 60.00°, β = 60.00°, γ = 60.00°
With the nearest neighbours (Å) after each atom.
Sites, in units of the cell vectors:
Cs1 0.2500 0.2500 0.2500  12 F 3.30
Cs2 0.7500 0.7500 0.7500  12 F 3.30
La1 0.0000 0.0000 0.0000  6 F 2.50
Sc1 0.5000 0.5000 0.5000  6 F 2.16
F1 0.2680 0.2680 0.7320  1 Sc 2.16
F2 0.2680 0.7320 0.2680  1 Sc 2.16
F3 0.2680 0.7320 0.7320  1 Sc 2.16
F4 0.7320 0.2680 0.2680  1 Sc 2.16
F5 0.7320 0.2680 0.7320  1 Sc 2.16
F6 0.7320 0.7320 0.2680  1 Sc 2.16

---

PrTh2Pa after structural relaxation, computed with PBE.

Volume = 30.57 Å³/atom
Energy above the lowest structure with this stoichiometry = 0.096 eV per atom
Energy of formation from the pure elements = 0.204 eV/atom
SG = P4/mmm (123)

a = 5.0451 Å, b = 5.0451 Å, c = 4.8036 Å
α = 90.00°, β = 90.00°, γ = 90.00°
With the nearest neighbours (Å) after each atom.
Sites, in units of the cell vectors:
Pr1 0.0000 0.0000 0.0000  8 Th 3.48, 4 Pa 3.57
Th1 0.0000 0.5000 0.5000  4 Pr 3.48, 4 Pa 3.48, 4 Th 3.57
Th2 0.5000 0.0000 0.5000  4 Pr 3.48, 4 Pa 3.48, 4 Th 3.57
Pa1 0.5000 0.5000 0.0000  8 Th 3.48, 4 Pr 3.57

---

> The lowest volume belongs to which entry?

BeC

---

> Among the records above, which one has the highest volume?

PrTh2Pa

---

> Which of these has the lowest volume?

BeC